No. 1
CdIr2Ru | SCAN | PBEsol geometry

Cell lengths 2.7449, 4.6334, 5.5421 Å; angles 114.71, 104.34, 90.00 degrees
Positions (direct):
Cd  0.2500  0.7500  0.5000
Ir  0.0212  0.0212  0.0425
Ir  0.7523  0.2523  0.5047
Ru  0.4764  0.4764  0.9528

Results
density of states at the Fermi level: 0.98 states/eV per atom
crystal system: orthorhombic
space group: Imm2 (44)
energy relative to the elements: 0.345 eV per atom

=====

No. 2
AlCr4W | SCAN | PBEsol geometry

Cell lengths 4.7283, 4.7283, 4.7283 Å; angles 60.00, 60.00, 60.00 degrees
Positions (direct):
Cr  0.8758  0.3747  0.3747
Cr  0.3747  0.3747  0.3747
Cr  0.3747  0.3747  0.8758
Cr  0.3747  0.8758  0.3747
Al  0.0000  0.0000  0.0000
W  0.7500  0.7500  0.7500

Results
density of states at the Fermi level: 0.54 states/eV per atom
crystal system: cubic
space group: F-43m (216)
energy relative to the elements: -0.043 eV per atom

=====

No. 3
NaMn2BiO6 | SCAN | PBEsol geometry

Cell lengths 5.3135, 5.3135, 5.2796 Å; angles 59.79, 59.79, 60.00 degrees
Positions (direct):
Na  0.2653  0.2653  0.2042
Mn  0.0112  0.0112  0.9665
Mn  0.5106  0.5106  0.4682
Bi  0.7738  0.7738  0.6787
O  0.1892  0.7507  0.7413
O  0.3188  0.1892  0.7413
O  0.7507  0.3188  0.7413
O  0.2378  0.6895  0.2537
O  0.6895  0.8191  0.2537
O  0.8191  0.2378  0.2537

Results
crystal system: trigonal
E_form (uncorrected): -18.28 eV per formula unit
space group: R3 (146)

=====

Repeat the third record exactly.
NaMn2BiO6 | SCAN | PBEsol geometry

Cell lengths 5.3135, 5.3135, 5.2796 Å; angles 59.79, 59.79, 60.00 degrees
Positions (direct):
Na  0.2653  0.2653  0.2042
Mn  0.0112  0.0112  0.9665
Mn  0.5106  0.5106  0.4682
Bi  0.7738  0.7738  0.6787
O  0.1892  0.7507  0.7413
O  0.3188  0.1892  0.7413
O  0.7507  0.3188  0.7413
O  0.2378  0.6895  0.2537
O  0.6895  0.8191  0.2537
O  0.8191  0.2378  0.2537

Results
crystal system: trigonal
E_form (uncorrected): -18.28 eV per formula unit
space group: R3 (146)